Material: MgRe2P
Method: DFT, GGA-PBE
State: relaxed

Cell: 10.214 2.918 4.501 Å, 90.00 115.89 90.00°
Space group C2/m (No. 12)
Inequivalent atoms, fractional coordinates:
1 Mg 0.000 0.000 0.000 (multiplicity 2)
2 Re 0.208 0.000 0.708 (multiplicity 4)
3 P 0.000 0.500 0.500 (multiplicity 2)

Summary:
* calculated density: 11.77 Mg/m³
* Fermi-level density of states: 6.19 states/eV per cell
* excess energy over the best structure of this formula in the dataset: 100 meV/atom
* total magnetization: 0.00 Bohr magnetons per cell
* volume: 15.1 Å³ per atom
* energy of formation: 0.346 eV/f.u.